[1]
Below is CoIr2I after structural relaxation, with properties calculated at the PBE-GGA level.

```
data_CoIr2I
_symmetry_space_group_name_H-M 'I -4 2 d'
_symmetry_Int_Tables_number 122
_symmetry_space_group_name_Hall 'I -4 2bw'
_cell_length_a 3.8206
_cell_length_b 3.8206
_cell_length_c 18.4568
_cell_angle_alpha 90.00
_cell_angle_beta 90.00
_cell_angle_gamma 90.00
loop_
_atom_site_label
_atom_site_type_symbol
_atom_site_fract_x
_atom_site_fract_y
_atom_site_fract_z
Co1 Co 0.0000 0.0000 0.0000
Ir1 Ir 0.2226 0.2500 0.1250
I1 I 0.0000 0.0000 0.5000
```

relative energy among the computed polymorphs: 0.0 kJ/mol of atoms
crystal system: tetragonal
formation energy (no corrections): 0.89 eV/atom



[2]
Below is Co2IrI after structural relaxation, with properties calculated at the PBE-GGA level.

```
data_Co2IrI
_symmetry_space_group_name_H-M 'I -4 2 d'
_symmetry_Int_Tables_number 122
_symmetry_space_group_name_Hall 'I -4 2bw'
_cell_length_a 5.8931
_cell_length_b 5.8931
_cell_length_c 9.3688
_cell_angle_alpha 90.00
_cell_angle_beta 90.00
_cell_angle_gamma 90.00
loop_
_atom_site_label
_atom_site_type_symbol
_atom_site_fract_x
_atom_site_fract_y
_atom_site_fract_z
Co1 Co 0.2164 0.2500 0.1250
Ir1 Ir 0.0000 0.0000 0.0000
I1 I 0.0000 0.0000 0.5000
```

relative energy among the computed polymorphs: 0.0 kJ/mol of atoms
crystal system: tetragonal
formation energy (no corrections): 0.91 eV/atom



What is the formula in the second record? Co2IrI